This record from Alexandria describes NdCd2Ga2Au2 after structural relaxation. The functional is GGA-PBE.

abc: 4.5233 4.5233 25.5805
angles: 90.00 90.00 120.00
Space group R-3m (No. 166, hexagonal axes)
Inequivalent atoms, fractional coordinates:
Nd  0.0000  0.0000  0.0000 (multiplicity 3)
Cd  0.0000  0.0000  0.1388 (multiplicity 6)
Ga  0.0000  0.0000  0.2588 (multiplicity 6)
Au  0.0000  0.0000  0.4119 (multiplicity 6)

---

This record from Alexandria describes NaAcAgPb after structural relaxation. The functional is GGA-PBE.

abc: 7.836 7.836 7.836
angles: 90.00 90.00 90.00
Space group F-43m (No. 216)
Inequivalent atoms, fractional coordinates:
Na  0.000  0.000  0.000 (multiplicity 4)
Ac  0.000  0.000  0.500 (multiplicity 4)
Ag  0.250  0.250  0.250 (multiplicity 4)
Pb  0.250  0.250  0.750 (multiplicity 4)

---

This record from Alexandria describes BaSr2Fe after structural relaxation. The functional is GGA-PBE.

abc: 8.204 8.204 8.204
angles: 90.00 90.00 90.00
Space group Fm-3m (No. 225)
Inequivalent atoms, fractional coordinates:
Ba  0.000  0.000  0.000 (multiplicity 4)
Sr  0.250  0.250  0.250 (multiplicity 8)
Fe  0.000  0.000  0.500 (multiplicity 4)

Properties
* offset from the most stable computed form: 1.81 eV/f.u.

---

Number 1: ΔH_f (0 K) -431 meV/atom, DFT total energy -66.66 eV per cell. Number 2: ΔH_f (0 K) -260 meV/atom, DFT total energy -52.11 eV per cell. Number 3: ΔH_f (0 K) 878 meV/atom, DFT total energy -40.95 eV per cell.